No. 1
The following is a PBE-GGA calculation of CsZrAgSe3 after structural relaxation, from OQMD.

Values from the calculation:
offset from the most stable computed form: 29 meV per atom
space-group type: Pnma, No. 62

Structure (CIF):
```
data_CsZrAgSe3
_space_group_name_H-M_alt 'P 1'
_space_group_IT_number 1
_cell_length_a 10.882
_cell_length_b 4.007
_cell_length_c 16.063
_cell_angle_alpha 90.00
_cell_angle_beta 90.00
_cell_angle_gamma 90.00
loop_
_space_group_symop_operation_xyz
'x,y,z'
loop_
_atom_site_label
_atom_site_fract_x
_atom_site_fract_y
_atom_site_fract_z
Cs1 0.248 0.250 0.001
Cs2 0.252 0.750 0.501
Cs3 0.748 0.250 0.499
Cs4 0.752 0.750 0.999
Zr1 0.026 0.750 0.244
Zr2 0.474 0.250 0.744
Zr3 0.526 0.750 0.256
Zr4 0.974 0.250 0.756
Ag1 0.247 0.250 0.294
Ag2 0.253 0.750 0.794
Ag3 0.747 0.250 0.206
Ag4 0.753 0.750 0.706
Se1 0.031 0.250 0.362
Se2 0.039 0.750 0.866
Se3 0.247 0.750 0.186
Se4 0.253 0.250 0.686
Se5 0.461 0.250 0.366
Se6 0.469 0.750 0.862
Se7 0.531 0.250 0.138
Se8 0.539 0.750 0.634
Se9 0.747 0.750 0.314
Se10 0.753 0.250 0.814
Se11 0.961 0.250 0.134
Se12 0.969 0.750 0.638
```

***

No. 2
The following is a PBE-GGA calculation of Li2TaNbAl2Co2 after structural relaxation, from OQMD.

Values from the calculation:
calculated total energy: -50.17 eV for the cell shown
space-group type: P-4m2, No. 115

Structure (CIF):
```
data_Li2TaNbAl2Co2
_space_group_name_H-M_alt 'P 1'
_space_group_IT_number 1
_cell_length_a 4.193
_cell_length_b 4.193
_cell_length_c 5.930
_cell_angle_alpha 90.00
_cell_angle_beta 90.00
_cell_angle_gamma 90.00
loop_
_space_group_symop_operation_xyz
'x,y,z'
loop_
_atom_site_label
_atom_site_fract_x
_atom_site_fract_y
_atom_site_fract_z
Li1 0.000 0.500 0.250
Li2 0.500 0.000 0.750
Ta1 0.000 0.000 0.000
Nb1 0.500 0.500 0.500
Al1 0.000 0.000 0.500
Al2 0.500 0.500 0.000
Co1 0.000 0.500 0.750
Co2 0.500 0.000 0.250
```